(1)
The following is a DFT calculation (PBE-GGA) of a relaxed MnFeP2 crystal.

The formation energy is -0.35 eV per atom. For the volume, the calculation gives 11.541 Å³ per atom. As for the offset from the most stable computed form: 237 meV/atom. The calculation puts the electronic total energy at -7.466 eV per atom.

The structure belongs to space group P4mm (No. 99); the cell edges are 3.103, 3.103 and 4.794 Å and the angles 90.00°, 90.00° and 90.00°. The asymmetric unit holds Mn at (0.000, 0.000, 0.000), Fe at (0.500, 0.500, 0.650), P at (0.000, 0.000, 0.492) and P at (0.500, 0.500, 0.159).

=====

(2)
The following is a DFT calculation (PBE-GGA) of a relaxed La3PrPb crystal.

The formation energy is -0.26 eV per atom. For the volume, the calculation gives 33.484 Å³ per atom. As for the offset from the most stable computed form: 0 meV/atom. The calculation puts the electronic total energy at -4.912 eV per atom.

The structure belongs to space group C2/c (No. 15); the cell edges are 18.024, 6.356 and 12.352 Å and the angles 90.00°, 108.83° and 90.00°. The asymmetric unit holds La at (0.053, 0.226, 0.007), La at (0.094, 0.402, 0.749), La at (0.204, 0.053, 0.244), Pr at (0.151, 0.271, 0.494), Pb at (0.000, 0.091, 0.250) and Pb at (0.250, 0.250, 0.000).

=====

Q: Which of these has the highest volume?
A: La3PrPb

=====

Q: The lowest offset from the most stable computed form belongs to which entry?
A: La3PrPb

=====

Q: Look up the offset from the most stable computed form of the first one.
A: 237 meV/atom